Ca11Ag9Pt4 | GGA-PBE | relaxed

Unit cell a=12.921 b=12.921 c=3.787 alpha=90.00 beta=90.00 gamma=112.92
Positions (direct):
Ca1 0.000 0.000 0.000
Ca2 0.075 0.413 0.000
Ca3 0.166 0.834 0.000
Ca4 0.301 0.301 0.000
Ca5 0.370 0.630 0.000
Ca6 0.413 0.075 0.000
Ca7 0.587 0.925 0.000
Ca8 0.630 0.370 0.000
Ca9 0.699 0.699 0.000
Ca10 0.834 0.166 0.000
Ca11 0.925 0.587 0.000
Ag1 0.071 0.215 0.500
Ag2 0.160 0.630 0.500
Ag3 0.215 0.071 0.500
Ag4 0.370 0.840 0.500
Ag5 0.500 0.500 0.500
Ag6 0.630 0.160 0.500
Ag7 0.785 0.929 0.500
Ag8 0.840 0.370 0.500
Ag9 0.929 0.785 0.500
Pt1 0.251 0.450 0.500
Pt2 0.450 0.251 0.500
Pt3 0.550 0.749 0.500
Pt4 0.749 0.550 0.500

Properties
DFT formation energy, eV/f.u.: -12.23
Crystal system: orthorhombic
Calculated volume, Å³/cell: 582.3
Space group: Cmmm, No. 65
Mass density, kg/m3: 6251
Total magnetization, μB/f.u.: 0.0
D(E_F), states/eV/cell: 7.8



K2AgSe2 | GGA-PBE | relaxed

Unit cell a=6.125 b=6.125 c=6.125 alpha=115.05 beta=115.05 gamma=98.82
Positions (direct):
K1 0.250 0.750 0.500
K2 0.750 0.250 0.500
Ag1 0.000 0.000 0.000
Se1 0.313 0.313 0.000
Se2 0.687 0.687 0.000

Properties
Crystal system: tetragonal
Energy above the most stable polymorph in this dataset, kcal/mol of atoms: 1.73
Calculated volume, Å³/cell: 172.5
Space group: I4/mmm, No. 139
Mass density, kg/m3: 3312
Total magnetization, μB/f.u.: 0.0
D(E_F), states/eV/cell: 5.1
Formation energy (no corrections), eV per atom: -0.549



CaEu2Zn | GGA-PBE | relaxed

Unit cell a=5.721 b=5.721 c=5.721 alpha=60.00 beta=60.00 gamma=60.00
Positions (direct):
Ca1 0.000 0.000 0.000
Eu1 0.250 0.250 0.250
Eu2 0.750 0.750 0.750
Zn1 0.500 0.500 0.500

Properties
DFT formation energy, eV/f.u.: 0.17
Crystal system: cubic
Energy above the most stable polymorph in this dataset, kcal/mol of atoms: 4.05
Calculated volume, Å³/cell: 132.4
Space group: Fm-3m, No. 225
Mass density, kg/m3: 5136
Total magnetization, μB/f.u.: 14.8
D(E_F), states/eV/cell: 10.6



Ac2Cd2Pd5Pt | GGA-PBE | relaxed

Unit cell a=10.265 b=10.265 c=4.015 alpha=90.00 beta=90.00 gamma=90.00
Positions (direct):
Ac1 0.181 0.319 0.000
Ac2 0.319 0.819 0.000
Ac3 0.681 0.181 0.000
Ac4 0.819 0.681 0.000
Cd1 0.119 0.619 0.000
Cd2 0.381 0.119 0.000
Cd3 0.619 0.881 0.000
Cd4 0.881 0.381 0.000
Pd1 0.000 0.500 0.500
Pd2 0.052 0.804 0.500
Pd3 0.196 0.052 0.500
Pd4 0.304 0.552 0.500
Pd5 0.448 0.304 0.500
Pd6 0.500 0.000 0.500
Pd7 0.552 0.696 0.500
Pd8 0.696 0.448 0.500
Pd9 0.804 0.948 0.500
Pd10 0.948 0.196 0.500
Pt1 0.000 0.000 0.000
Pt2 0.500 0.500 0.000

Properties
DFT formation energy, eV/f.u.: -4.15
Crystal system: tetragonal
Calculated volume, Å³/cell: 423.0
Space group: P4/mbm, No. 127
Mass density, kg/m3: 11039
Total magnetization, μB/f.u.: 0.0
D(E_F), states/eV/cell: 7.5



TbHo3Ga4 | GGA-PBE | relaxed

Unit cell a=5.043 b=5.043 c=7.109 alpha=90.00 beta=90.00 gamma=90.00
Positions (direct):
Tb1 0.000 0.000 0.000
Ho1 0.000 0.000 0.500
Ho2 0.500 0.500 0.000
Ho3 0.500 0.500 0.500
Ga1 0.000 0.500 0.252
Ga2 0.000 0.500 0.748
Ga3 0.500 0.000 0.252
Ga4 0.500 0.000 0.748

Properties
DFT formation energy, eV/f.u.: -4.65
Crystal system: tetragonal
Energy above the most stable polymorph in this dataset, kcal/mol of atoms: 0.00
Calculated volume, Å³/cell: 180.8
Space group: P4/mmm, No. 123
Mass density, kg/m3: 8565
Total magnetization, μB/f.u.: 0.0
D(E_F), states/eV/cell: 3.0



AcEu2Cd | GGA-PBE | relaxed

Unit cell a=3.933 b=3.933 c=9.587 alpha=90.00 beta=90.00 gamma=90.00
Positions (direct):
Ac1 0.000 0.000 0.000
Eu1 0.500 0.500 0.298
Eu2 0.500 0.500 0.702
Cd1 0.000 0.000 0.500

Properties
DFT formation energy, eV/f.u.: -0.58
Crystal system: tetragonal
Energy above the most stable polymorph in this dataset, kcal/mol of atoms: 0.00
Calculated volume, Å³/cell: 148.3
Space group: P4/mmm, No. 123
Mass density, kg/m3: 7203
Total magnetization, μB/f.u.: 14.6
D(E_F), states/eV/cell: 13.7



SrLiMg | GGA-PBE | relaxed

Unit cell a=5.359 b=5.359 c=4.003 alpha=90.00 beta=90.00 gamma=120.00
Positions (direct):
Sr1 0.000 0.000 0.000
Li1 0.667 0.333 0.500
Mg1 0.333 0.667 0.500

Properties
DFT formation energy, eV/f.u.: 0.04
Crystal system: hexagonal
Energy above the most stable polymorph in this dataset, kcal/mol of atoms: 1.41
Calculated volume, Å³/cell: 99.6
Space group: P-6m2, No. 187
Mass density, kg/m3: 1982
Total magnetization, μB/f.u.: 0.0
D(E_F), states/eV/cell: 2.0



La2MgCd | GGA-PBE | relaxed

Unit cell a=7.135 b=7.135 c=7.135 alpha=101.58 beta=101.58 gamma=126.76
Positions (direct):
La1 0.103 0.625 0.978
La2 0.375 0.353 0.478
La3 0.647 0.125 0.022
La4 0.875 0.897 0.522
Mg1 0.250 0.750 0.500
Mg2 0.500 0.500 0.000
Cd1 0.000 0.000 0.000
Cd2 0.750 0.250 0.500

Properties
DFT formation energy, eV/f.u.: 0.50
Crystal system: tetragonal
Calculated volume, Å³/cell: 260.1
Space group: I-42d, No. 122
Mass density, kg/m3: 5293
Total magnetization, μB/f.u.: 0.0
D(E_F), states/eV/cell: 14.3



Dy3ErPu2Se6 | GGA-PBE | relaxed

Unit cell a=9.149 b=9.149 c=8.211 alpha=103.15 beta=103.15 gamma=25.73
Positions (direct):
Dy1 0.000 0.000 0.000
Dy2 0.332 0.332 0.666
Dy3 0.668 0.668 0.334
Er1 0.000 0.000 0.500
Pu1 0.334 0.334 0.167
Pu2 0.666 0.666 0.833
Se1 0.165 0.165 0.579
Se2 0.166 0.166 0.086
Se3 0.498 0.498 0.746
Se4 0.502 0.502 0.254
Se5 0.834 0.834 0.914
Se6 0.835 0.835 0.421

Properties
Crystal system: monoclinic
Calculated volume, Å³/cell: 290.1
Space group: C2/m, No. 12
Mass density, kg/m3: 9252
Total magnetization, μB/f.u.: 11.8
D(E_F), states/eV/cell: 18.2
Formation energy (no corrections), eV per atom: -1.693



Pu2Ni4As3Rh | GGA-PBE | relaxed

Unit cell a=3.968 b=3.968 c=10.246 alpha=90.00 beta=90.00 gamma=90.00
Positions (direct):
Pu1 0.000 0.500 0.244
Pu2 0.500 0.000 0.756
Ni1 0.000 0.000 0.500
Ni2 0.000 0.500 0.852
Ni3 0.500 0.000 0.148
Ni4 0.500 0.500 0.500
As1 0.000 0.000 0.000
As2 0.000 0.500 0.628
As3 0.500 0.000 0.372
Rh1 0.500 0.500 0.000

Properties
DFT formation energy, eV/f.u.: -5.36
Crystal system: tetragonal
Calculated volume, Å³/cell: 161.3
Space group: P-4m2, No. 115
Mass density, kg/m3: 10813
Total magnetization, μB/f.u.: 9.9
D(E_F), states/eV/cell: 26.9



AgRuSe2 | GGA-PBE | relaxed

Unit cell a=6.320 b=6.320 c=6.320 alpha=152.39 beta=135.09 gamma=53.53
Positions (direct):
Ag1 0.000 0.000 0.000
Ru1 0.500 0.500 0.000
Se1 0.328 0.828 0.500
Se2 0.672 0.172 0.500

Properties
Crystal system: orthorhombic
Energy above the most stable polymorph in this dataset, kcal/mol of atoms: 4.45
Calculated volume, Å³/cell: 82.2
Space group: Immm, No. 71
Mass density, kg/m3: 7414
Total magnetization, μB/f.u.: 0.0
D(E_F), states/eV/cell: 3.8
Formation energy (no corrections), eV per atom: 0.105



KPm2CuCl8 | GGA-PBE | relaxed

Unit cell a=6.897 b=8.008 c=8.400 alpha=98.10 beta=91.22 gamma=114.49
Positions (direct):
K1 0.000 0.000 0.000
Pm1 0.493 0.529 0.258
Pm2 0.507 0.471 0.742
Cu1 0.000 0.000 0.500
Cl1 0.068 0.215 0.701
Cl2 0.078 0.361 0.226
Cl3 0.469 0.712 0.556
Cl4 0.486 0.718 0.003
Cl5 0.514 0.282 0.997
Cl6 0.531 0.288 0.444
Cl7 0.922 0.639 0.774
Cl8 0.932 0.785 0.299

Properties
Crystal system: triclinic
Calculated volume, Å³/cell: 416.3
Space group: P-1, No. 2
Mass density, kg/m3: 2697
Total magnetization, μB/f.u.: 0.2
D(E_F), states/eV/cell: 0.0
Formation energy (no corrections), eV per atom: -1.882



KTlHg3 | GGA-PBE | relaxed

Unit cell a=9.790 b=9.790 c=6.057 alpha=90.00 beta=90.00 gamma=144.64
Positions (direct):
K1 0.191 0.809 0.750
K2 0.809 0.191 0.250
Tl1 0.452 0.548 0.250
Tl2 0.548 0.452 0.750
Hg1 0.000 0.000 0.000
Hg2 0.000 0.000 0.500
Hg3 0.122 0.390 0.750
Hg4 0.390 0.122 0.250
Hg5 0.610 0.878 0.750
Hg6 0.878 0.610 0.250

Properties
DFT formation energy, eV/f.u.: -0.62
Crystal system: orthorhombic
Energy above the most stable polymorph in this dataset, kcal/mol of atoms: 0.82
Calculated volume, Å³/cell: 336.0
Space group: Cmcm, No. 63
Mass density, kg/m3: 8355
Total magnetization, μB/f.u.: 0.0
D(E_F), states/eV/cell: 5.4



AlCd2P | GGA-PBE | relaxed

Unit cell a=3.025 b=5.302 c=5.060 alpha=90.00 beta=94.97 gamma=90.00
Positions (direct):
Al1 0.000 0.000 0.000
Cd1 0.251 0.500 0.750
Cd2 0.749 0.500 0.250
P1 0.000 0.000 0.500

Properties
DFT formation energy, eV/f.u.: 1.01
Crystal system: monoclinic
Energy above the most stable polymorph in this dataset, kcal/mol of atoms: 6.78
Calculated volume, Å³/cell: 80.9
Space group: P2/m, No. 10
Mass density, kg/m3: 5808
Total magnetization, μB/f.u.: 0.0
D(E_F), states/eV/cell: 1.8